VCoNF2: relaxed, PBE+U.

a b c (Å): 3.973 3.973 3.866
angles (deg): 90.00 90.00 90.00
Space group P4/mmm (No. 123)
Symmetry-distinct sites (fractional):
V (0.000, 0.000, 0.000) [1 per cell]
Co (0.500, 0.500, 0.500) [1 per cell]
N (0.000, 0.000, 0.500) [1 per cell]
F (0.000, 0.500, 0.000) [2 per cell]

Computed properties:
Size of the total moment = 3.52 μB/f.u.
Relative energy among the computed polymorphs = 0.000 eV per atom
Calculated density = 4.40 g cm⁻³